! Sr3TaCoO7 | Alexandria via LeMat-Bulk | GGA+U | relaxed; values from VASP
&SYSTEM
  ibrav = 0, nat = 24, ntyp = 4
/
ATOMIC_SPECIES
Sr 87.62 Sr.upf
Ta 180.95 Ta.upf
Co 58.93 Co.upf
O 16.00 O.upf
ATOMIC_POSITIONS angstrom
Sr 2.342 3.107 6.408
Sr 0.282 -3.310 6.135
Sr -0.112 0.389 5.055
Sr 2.882 -2.296 10.642
Sr -0.146 -0.191 11.916
Sr 2.739 -0.594 7.487
Ta 0.086 -1.007 1.868
Ta 2.542 1.709 3.220
Co 2.518 1.031 10.257
Co 0.061 -1.685 8.905
O 2.618 0.716 5.055
O -0.024 -0.728 7.130
O 1.524 -2.780 8.469
O 3.014 -2.832 5.855
O 4.096 2.804 3.833
O -1.206 -3.201 8.375
O 3.795 0.330 2.502
O -0.573 4.719 2.807
O -1.385 -0.777 9.688
O 0.987 0.551 2.737
O 2.472 2.623 1.536
O 0.176 -1.991 3.706
O 1.344 -0.357 9.783
O 1.293 3.023 4.065
CELL_PARAMETERS angstrom
-0.575 4.822 2.628
-2.301 -5.495 9.581
5.486 0.611 0.077
! Raw total energy, eV/cell: -174.528
! Fermi-level density of states, states/eV/atom: 0.05